Entry 1:
DFT (PBE) results for a relaxed Tb6YTm2Pu crystal.

The calculation puts the density at 8.561 Mg/m³. As for the energy relative to the elements: 0.19 eV/atom. As for the calculated total energy: -222.43 eV for the cell shown.

The space group is C2/c (No. 15) and the conventional cell measures 14.277, 9.691 and 9.119 Å, with angles of 90.00, 92.75 and 90.00 degrees. The asymmetric unit holds Tb at (0.083, 0.099, 0.397), Tb at (0.135, 0.265, 0.006), Tb at (0.141, 0.369, 0.586), Y at (0.000, 0.434, 0.250), Tm at (0.234, 0.074, 0.700) and Pu at (0.000, 0.177, 0.750).

=====

Entry 2:
DFT (PBE) results for a relaxed Rb2CdHg2 crystal.

The calculation puts the density at 5.154 Mg/m³. As for the energy relative to the elements: -0.06 eV/atom. As for the calculated total energy: -7.50 eV for the cell shown. The energy above the most stable polymorph in this dataset is 0.1342 eV per atom.

The space group is P4/mbm (No. 127) and the conventional cell measures 10.533, 10.533 and 3.976 Å, with angles of 90.00, 90.00 and 90.00 degrees. The asymmetric unit holds Rb at (0.188, 0.312, 0.000), Cd at (0.000, 0.000, 0.000) and Hg at (0.103, 0.603, 0.500).

=====

Entry 3:
DFT (PBE) results for a relaxed HfMn3Pd12 crystal.

The calculation puts the density at 10.937 Mg/m³. As for the energy relative to the elements: -0.39 eV/atom. As for the calculated total energy: -106.00 eV for the cell shown.

The space group is P4/mmm (No. 123) and the conventional cell measures 3.958, 3.958 and 15.707 Å, with angles of 90.00, 90.00 and 90.00 degrees. The asymmetric unit holds Hf at (0.000, 0.000, 0.000), Mn at (0.000, 0.000, 0.254), Mn at (0.000, 0.000, 0.500), Pd at (0.000, 0.500, 0.128), Pd at (0.000, 0.500, 0.377), Pd at (0.500, 0.500, 0.000), Pd at (0.500, 0.500, 0.252) and Pd at (0.500, 0.500, 0.500).

=====

Entry 4:
DFT (PBE) results for a relaxed CsTbNb6Br18 crystal.

The calculation puts the density at 4.787 Mg/m³. As for the calculated total energy: -250.82 eV for the cell shown. As for the formation energy from raw total energies: -1.131 eV/atom.

The space group is P-31c (No. 163) and the conventional cell measures 9.9533, 9.9533 and 18.4980 Å, with angles of 90.00, 90.00 and 120.00 degrees. The asymmetric unit holds Cs at (0.3333, 0.6667, 0.2500), Tb at (0.3333, 0.6667, 0.7500), Nb at (0.0385, 0.1877, 0.9348), Br at (0.0462, 0.2309, 0.1597), Br at (0.0854, 0.4470, 0.8383) and Br at (0.1384, 0.4144, 0.4993).

=====

Repeat the first record exactly.
DFT (PBE) results for a relaxed Tb6YTm2Pu crystal.

The calculation puts the density at 8.561 Mg/m³. As for the energy relative to the elements: 0.19 eV/atom. As for the calculated total energy: -222.43 eV for the cell shown.

The space group is C2/c (No. 15) and the conventional cell measures 14.277, 9.691 and 9.119 Å, with angles of 90.00, 92.75 and 90.00 degrees. The asymmetric unit holds Tb at (0.083, 0.099, 0.397), Tb at (0.135, 0.265, 0.006), Tb at (0.141, 0.369, 0.586), Y at (0.000, 0.434, 0.250), Tm at (0.234, 0.074, 0.700) and Pu at (0.000, 0.177, 0.750).

=====

> What is the density in the fourth record?

4.787 Mg/m³

=====

> Number 1 is which compound?

Tb6YTm2Pu

=====

> What is the formula in the second record?

Rb2CdHg2